Entry 1:
Here is a relaxed HoPuTh2 crystal from the Alexandria database. Energies are from PBE.

Structure (CIF):
```
data_HoPuTh2
_chemical_formula_sum 'Ho1 Pu1 Th2'
_space_group_name_H-M_alt 'P 4/m m m'
_space_group_IT_number 123
_space_group_name_Hall '-P 4 2'
_cell_length_a 3.5393
_cell_length_b 3.5393
_cell_length_c 9.6378
_cell_angle_alpha 90.00
_cell_angle_beta 90.00
_cell_angle_gamma 90.00
loop_
_atom_site_label
_atom_site_type_symbol
_atom_site_fract_x
_atom_site_fract_y
_atom_site_fract_z
_atom_site_occupancy
Ho1 Ho 0.0000 0.0000 0.0000 1
Pu1 Pu 0.0000 0.0000 0.5000 1
Th1 Th 0.5000 0.5000 0.2620 1
```

---

Entry 2:
Here is a relaxed HoPuTh2 crystal from the Alexandria database. Energies are from PBE.

Structure (CIF):
```
data_HoPuTh2
_chemical_formula_sum 'Ho1 Pu1 Th2'
_space_group_name_H-M_alt 'P 4/m m m'
_space_group_IT_number 123
_space_group_name_Hall '-P 4 2'
_cell_length_a 5.0538
_cell_length_b 5.0538
_cell_length_c 4.7281
_cell_angle_alpha 90.00
_cell_angle_beta 90.00
_cell_angle_gamma 90.00
loop_
_atom_site_label
_atom_site_type_symbol
_atom_site_fract_x
_atom_site_fract_y
_atom_site_fract_z
_atom_site_occupancy
Ho1 Ho 0.0000 0.0000 0.0000 1
Pu1 Pu 0.5000 0.5000 0.0000 1
Th1 Th 0.0000 0.5000 0.5000 1
```

---

| no. | excess energy over the best structure of this formula in the dataset (eV/atom) | formation energy from the elements (eV per atom) |
| --- | --- | --- |
| 1 | 0.005 | 0.099 |
| 2 | 0.000 | 0.093 |